Model one:
KBiIN2: optimized geometry, PBE. Values from VASP.

Quantum ESPRESSO input file:
```
&SYSTEM
  ibrav = 0, nat = 5, ntyp = 4
/
ATOMIC_SPECIES
Bi 208.98 Bi.upf
N 14.01 N.upf
K 39.10 K.upf
I 126.90 I.upf
ATOMIC_POSITIONS crystal
Bi 0.000 0.000 0.000
N 0.500 0.000 0.000
N 0.000 0.500 0.000
K 0.500 0.500 0.500
I 0.000 0.000 0.500
CELL_PARAMETERS angstrom
4.596 0.000 0.000
0.000 4.596 0.000
0.000 0.000 6.780
```

Density of states at the Fermi level (states/eV per atom): 0.492



Model two:
KBiIN2: optimized geometry, PBE. Values from VASP.

Quantum ESPRESSO input file:
```
&SYSTEM
  ibrav = 0, nat = 5, ntyp = 4
/
ATOMIC_SPECIES
Bi 208.98 Bi.upf
N 14.01 N.upf
I 126.90 I.upf
K 39.10 K.upf
ATOMIC_POSITIONS crystal
Bi 0.500 0.500 0.500
N 0.500 0.000 0.000
N 0.000 0.500 0.000
I 0.000 0.000 0.500
K 0.000 0.000 0.000
CELL_PARAMETERS angstrom
5.105 0.000 0.000
0.000 5.105 0.000
0.000 0.000 6.758
```

Density of states at the Fermi level (states/eV per atom): 0.766



model one is preferred energetically. Next in line: 0.968 eV/atom higher.



Model one:
KBiI2O: optimized geometry, PBE. Values from VASP.

Quantum ESPRESSO input file:
```
&SYSTEM
  ibrav = 0, nat = 5, ntyp = 4
/
ATOMIC_SPECIES
Bi 208.98 Bi.upf
I 126.90 I.upf
O 16.00 O.upf
K 39.10 K.upf
ATOMIC_POSITIONS crystal
Bi 0.500 0.500 0.500
I 0.500 0.000 0.000
I 0.000 0.500 0.000
O 0.000 0.000 0.500
K 0.000 0.000 0.000
CELL_PARAMETERS angstrom
6.231 0.000 0.000
0.000 6.231 0.000
0.000 0.000 4.347
```

Density of states at the Fermi level (states/eV per atom): 1.933



Model two:
KBiI2O: optimized geometry, PBE. Values from VASP.

Quantum ESPRESSO input file:
```
&SYSTEM
  ibrav = 0, nat = 5, ntyp = 4
/
ATOMIC_SPECIES
I 126.90 I.upf
O 16.00 O.upf
Bi 208.98 Bi.upf
K 39.10 K.upf
ATOMIC_POSITIONS crystal
I 0.000 0.500 0.000
I 0.500 0.000 0.000
O 0.000 0.000 0.500
Bi 0.000 0.000 0.000
K 0.500 0.500 0.500
CELL_PARAMETERS angstrom
-5.319 1.829 3.088
1.147 -4.366 4.560
2.333 2.972 2.258
```

Density of states at the Fermi level (states/eV per atom): 0.097



model two is preferred energetically. Next in line: 1.144 eV/atom higher.



Model one:
K2RbBiI6: optimized geometry, PBE. Values from VASP.

Quantum ESPRESSO input file:
```
&SYSTEM
  ibrav = 0, nat = 10, ntyp = 4
/
ATOMIC_SPECIES
Bi 208.98 Bi.upf
K 39.10 K.upf
Rb 85.47 Rb.upf
I 126.90 I.upf
ATOMIC_POSITIONS crystal
Bi 0.000 0.000 0.000
K 0.250 0.250 0.250
K 0.750 0.750 0.750
Rb 0.500 0.500 0.500
I 0.765 0.235 0.235
I 0.235 0.765 0.235
I 0.235 0.235 0.765
I 0.765 0.765 0.235
I 0.765 0.235 0.765
I 0.235 0.765 0.765
CELL_PARAMETERS angstrom
0.000 6.537 6.537
6.537 0.000 6.537
6.537 6.537 0.000
```

Density of states at the Fermi level (states/eV per atom): 0.000



Model two:
K2RbBiI6: optimized geometry, PBE. Values from VASP.

Quantum ESPRESSO input file:
```
&SYSTEM
  ibrav = 0, nat = 10, ntyp = 4
/
ATOMIC_SPECIES
K 39.10 K.upf
Bi 208.98 Bi.upf
Rb 85.47 Rb.upf
I 126.90 I.upf
ATOMIC_POSITIONS crystal
K 0.527 0.527 0.420
K 0.012 0.012 0.964
Bi 0.326 0.326 0.022
Rb 0.813 0.814 0.559
I 0.133 0.406 0.772
I 0.564 0.221 0.244
I 0.221 0.971 0.244
I 0.406 0.688 0.772
I 0.688 0.133 0.773
I 0.971 0.564 0.244
CELL_PARAMETERS angstrom
-6.342 -5.667 2.373
-0.965 -2.249 8.484
-7.302 3.226 4.621
```

Density of states at the Fermi level (states/eV per atom): 0.000



model two is preferred energetically. Next in line: 0.105 eV/atom higher.



Model one:
KBiSbI2: optimized geometry, PBE. Values from VASP.

Quantum ESPRESSO input file:
```
&SYSTEM
  ibrav = 0, nat = 5, ntyp = 4
/
ATOMIC_SPECIES
Bi 208.98 Bi.upf
K 39.10 K.upf
I 126.90 I.upf
Sb 121.76 Sb.upf
ATOMIC_POSITIONS crystal
Bi 0.500 0.500 0.500
K 0.000 0.000 0.000
I 0.500 0.000 0.000
I 0.000 0.500 0.000
Sb 0.000 0.000 0.500
CELL_PARAMETERS angstrom
6.225 0.000 0.000
0.000 6.225 0.000
0.000 0.000 6.555
```

Density of states at the Fermi level (states/eV per atom): 1.236



Model two:
KBiSbI2: optimized geometry, PBE. Values from VASP.

Quantum ESPRESSO input file:
```
&SYSTEM
  ibrav = 0, nat = 5, ntyp = 4
/
ATOMIC_SPECIES
Sb 121.76 Sb.upf
I 126.90 I.upf
K 39.10 K.upf
Bi 208.98 Bi.upf
ATOMIC_POSITIONS crystal
Sb 0.000 0.000 0.500
I 0.500 0.000 0.000
I 0.000 0.500 0.000
K 0.500 0.500 0.500
Bi 0.000 0.000 0.000
CELL_PARAMETERS angstrom
6.428 0.000 0.000
0.000 6.428 0.000
0.000 0.000 5.875
```

Density of states at the Fermi level (states/eV per atom): 0.730



model two is preferred energetically. Next in line: 0.747 eV/atom higher.



Model one:
KBiTe2I: optimized geometry, PBE. Values from VASP.

Quantum ESPRESSO input file:
```
&SYSTEM
  ibrav = 0, nat = 5, ntyp = 4
/
ATOMIC_SPECIES
Te 127.60 Te.upf
I 126.90 I.upf
K 39.10 K.upf
Bi 208.98 Bi.upf
ATOMIC_POSITIONS crystal
Te 0.000 0.500 0.000
Te 0.500 0.000 0.000
I 0.000 0.000 0.500
K 0.500 0.500 0.500
Bi 0.000 0.000 0.000
CELL_PARAMETERS angstrom
-2.225 -4.096 -3.743
5.452 -0.862 -2.297
1.099 -4.537 4.312
```

Density of states at the Fermi level (states/eV per atom): 1.078



Model two:
KBiTe2I: optimized geometry, PBE. Values from VASP.

Quantum ESPRESSO input file:
```
&SYSTEM
  ibrav = 0, nat = 5, ntyp = 4
/
ATOMIC_SPECIES
I 126.90 I.upf
Bi 208.98 Bi.upf
Te 127.60 Te.upf
K 39.10 K.upf
ATOMIC_POSITIONS crystal
I 0.000 0.000 0.500
Bi 0.500 0.500 0.500
Te 0.000 0.500 0.000
Te 0.500 0.000 0.000
K 0.000 0.000 0.000
CELL_PARAMETERS angstrom
-3.594 -1.404 -4.684
3.736 -4.539 -1.506
-3.110 -3.722 3.502
```

Density of states at the Fermi level (states/eV per atom): 2.041



model one is preferred energetically. Next in line: 0.952 eV/atom higher.



Model one:
LaBi3I: optimized geometry, PBE. Values from VASP.

Quantum ESPRESSO input file:
```
&SYSTEM
  ibrav = 0, nat = 5, ntyp = 3
/
ATOMIC_SPECIES
La 138.91 La.upf
Bi 208.98 Bi.upf
I 126.90 I.upf
ATOMIC_POSITIONS crystal
La 0.000 0.000 0.000
Bi 0.500 0.000 0.000
Bi 0.000 0.000 0.500
Bi 0.000 0.500 0.000
I 0.500 0.500 0.500
CELL_PARAMETERS angstrom
-3.092 1.452 -5.201
-5.367 -1.492 2.774
-0.600 5.864 1.994
```

Density of states at the Fermi level (states/eV per atom): 1.236



Model two:
LaBi3I: optimized geometry, PBE. Values from VASP.

Quantum ESPRESSO input file:
```
&SYSTEM
  ibrav = 0, nat = 5, ntyp = 3
/
ATOMIC_SPECIES
I 126.90 I.upf
Bi 208.98 Bi.upf
La 138.91 La.upf
ATOMIC_POSITIONS crystal
I 0.000 0.000 0.000
Bi 0.500 0.000 0.000
Bi 0.000 0.500 0.000
Bi 0.000 0.000 0.500
La 0.500 0.500 0.500
CELL_PARAMETERS angstrom
-0.774 0.483 5.801
-4.117 -4.183 -0.201
4.116 -4.093 0.890
```

Density of states at the Fermi level (states/eV per atom): 0.764



model one is preferred energetically. Next in line: 0.015 eV/atom higher.



Model one:
LaBiIN2: optimized geometry, PBE. Values from VASP.

Quantum ESPRESSO input file:
```
&SYSTEM
  ibrav = 0, nat = 5, ntyp = 4
/
ATOMIC_SPECIES
I 126.90 I.upf
La 138.91 La.upf
Bi 208.98 Bi.upf
N 14.01 N.upf
ATOMIC_POSITIONS crystal
I 0.000 0.000 0.500
La 0.000 0.000 0.000
Bi 0.500 0.500 0.500
N 0.500 0.000 0.000
N 0.000 0.500 0.000
CELL_PARAMETERS angstrom
4.502 0.000 0.000
0.000 4.502 0.000
0.000 0.000 6.546
```

Density of states at the Fermi level (states/eV per atom): 0.763



Model two:
LaBiIN2: optimized geometry, PBE. Values from VASP.

Quantum ESPRESSO input file:
```
&SYSTEM
  ibrav = 0, nat = 5, ntyp = 4
/
ATOMIC_SPECIES
N 14.01 N.upf
La 138.91 La.upf
I 126.90 I.upf
Bi 208.98 Bi.upf
ATOMIC_POSITIONS crystal
N 0.000 0.500 0.000
N 0.500 0.000 0.000
La 0.500 0.500 0.500
I 0.000 0.000 0.500
Bi 0.000 0.000 0.000
CELL_PARAMETERS angstrom
-1.586 0.434 -4.252
-4.266 0.124 1.603
0.345 5.836 0.467
```

Density of states at the Fermi level (states/eV per atom): 0.661



model one is preferred energetically. Next in line: 0.104 eV/atom higher.



Model one:
LaBiI2O: optimized geometry, PBE. Values from VASP.

Quantum ESPRESSO input file:
```
&SYSTEM
  ibrav = 0, nat = 5, ntyp = 4
/
ATOMIC_SPECIES
I 126.90 I.upf
Bi 208.98 Bi.upf
O 16.00 O.upf
La 138.91 La.upf
ATOMIC_POSITIONS crystal
I 0.000 0.500 0.000
I 0.500 0.000 0.000
Bi 0.500 0.500 0.500
O 0.000 0.000 0.500
La 0.000 0.000 0.000
CELL_PARAMETERS angstrom
-4.751 2.416 3.823
-4.516 -2.822 -3.829
0.152 -3.509 2.407
```

Density of states at the Fermi level (states/eV per atom): 0.933



Model two:
LaBiI2O: optimized geometry, PBE. Values from VASP.

Quantum ESPRESSO input file:
```
&SYSTEM
  ibrav = 0, nat = 5, ntyp = 4
/
ATOMIC_SPECIES
La 138.91 La.upf
Bi 208.98 Bi.upf
O 16.00 O.upf
I 126.90 I.upf
ATOMIC_POSITIONS crystal
La 0.500 0.500 0.500
Bi 0.000 0.000 0.000
O 0.000 0.000 0.500
I 0.500 0.000 0.000
I 0.000 0.500 0.000
CELL_PARAMETERS angstrom
-0.519 -1.675 6.157
6.355 -0.692 0.348
0.388 4.141 1.159
```

Density of states at the Fermi level (states/eV per atom): 1.229



model one is preferred energetically. Next in line: 0.655 eV/atom higher.